Entry 1:
VASP calculation (PBE) on crystalline Mg2BeGaAu6 at its relaxed geometry.

Results
DFT formation energy = -24 meV per atom
energy = -119.4 eV/cell

```
data_Mg2BeGaAu6
_chemical_formula_sum 'Mg8 Be4 Ga4 Au24'
_cell_length_a 9.332
_cell_length_b 9.332
_cell_length_c 9.332
_cell_angle_alpha 90.00
_cell_angle_beta 90.00
_cell_angle_gamma 90.00
_space_group_name_H-M_alt 'F m -3 m'
_space_group_IT_number 225
_space_group_name_Hall '-F 4 2 3'
loop_
_atom_site_label
_atom_site_type_symbol
_atom_site_fract_x
_atom_site_fract_y
_atom_site_fract_z
Mg1 Mg 0.250 0.250 0.250
Be1 Be 0.000 0.000 0.000
Ga1 Ga 0.000 0.000 0.500
Au1 Au 0.000 0.000 0.236
```

---

Entry 2:
VASP calculation (PBE) on crystalline YTc2BF at its relaxed geometry.

Results
energy = -32.3 eV/cell
E_form (uncorrected) = 3.4 eV/f.u.

```
data_YTc2BF
_chemical_formula_sum 'Y1 Tc2 B1 F1'
_cell_length_a 4.133
_cell_length_b 4.133
_cell_length_c 4.423
_cell_angle_alpha 90.00
_cell_angle_beta 90.00
_cell_angle_gamma 90.00
_space_group_name_H-M_alt 'P 4/m m m'
_space_group_IT_number 123
_space_group_name_Hall '-P 4 2'
loop_
_atom_site_label
_atom_site_type_symbol
_atom_site_fract_x
_atom_site_fract_y
_atom_site_fract_z
Y1 Y 0.000 0.000 0.000
Tc1 Tc 0.000 0.500 0.500
B1 B 0.500 0.500 0.000
F1 F 0.000 0.000 0.500
```

---

Entry 3:
VASP calculation (PBE) on crystalline Er6RhSe5 at its relaxed geometry.

Results
energy = -142.3 eV/cell
E_form (uncorrected) = -19.0 eV/f.u.

```
data_Er6RhSe5
_chemical_formula_sum 'Er12 Rh2 Se10'
_cell_length_a 7.066
_cell_length_b 12.233
_cell_length_c 7.018
_cell_angle_alpha 90.00
_cell_angle_beta 109.72
_cell_angle_gamma 90.00
_space_group_name_H-M_alt 'C 1 2/m 1'
_space_group_IT_number 12
loop_
_space_group_symop_operation_xyz
'x,y,z'
'-x,-y,-z'
'-x,y,-z'
'x,-y,z'
'x+1/2,y+1/2,z'
'-x+1/2,-y+1/2,-z'
'-x+1/2,y+1/2,-z'
'x+1/2,-y+1/2,z'
loop_
_atom_site_label
_atom_site_type_symbol
_atom_site_fract_x
_atom_site_fract_y
_atom_site_fract_z
Er1 Er 0.234 0.000 0.259
Er2 Er 0.234 0.157 0.734
Rh1 Rh 0.000 0.000 0.500
Se1 Se 0.000 0.177 0.000
Se2 Se 0.000 0.335 0.500
Se3 Se 0.000 0.500 0.000
```